(1)
This record from Alexandria describes a geometry-optimized Y3Mn5S12 structure. The functional is PBE.

a b c (Å): 12.9292 12.9292 12.9292
angles (deg): 109.47 109.47 109.47
Last column: nearest neighbours and their distance in Å.
Fractional positions:
Y1 0.7500 0.3750 0.1250  8 S 2.85-2.92
Y2 0.8750 0.7500 0.1250  8 S 2.85-2.92
Y3 0.3750 0.7500 0.6250  8 S 2.85-2.92
Y4 0.2500 0.1250 0.3750  8 S 2.85-2.92
Y5 0.8750 0.1250 0.2500  8 S 2.85-2.92
Y6 0.3750 0.6250 0.2500  8 S 2.85-2.92
Y7 0.6250 0.3750 0.7500  8 S 2.85-2.92
Y8 0.1250 0.8750 0.7500  8 S 2.85-2.92
Y9 0.7500 0.8750 0.6250  8 S 2.85-2.92
Y10 0.6250 0.2500 0.3750  8 S 2.85-2.92
Y11 0.1250 0.2500 0.8750  8 S 2.85-2.92
Y12 0.2500 0.6250 0.8750  8 S 2.85-2.92
Mn1 0.1250 0.3750 0.2500  4 S 2.28
Mn2 0.0000 0.5000 0.0000  6 S 2.41
Mn3 0.0000 0.0000 0.0000  6 S 2.41
Mn4 0.3750 0.2500 0.1250  4 S 2.28
Mn5 0.5000 0.0000 0.5000  6 S 2.41
Mn6 0.5000 0.5000 0.0000  6 S 2.41
Mn7 0.1250 0.7500 0.3750  4 S 2.28
Mn8 0.7500 0.1250 0.8750  4 S 2.28
Mn9 0.7500 0.6250 0.3750  4 S 2.28
Mn10 0.3750 0.1250 0.7500  4 S 2.28
Mn11 0.6250 0.8750 0.2500  4 S 2.28
Mn12 0.5000 0.5000 0.5000  6 S 2.41
Mn13 0.5000 0.0000 0.0000  6 S 2.41
Mn14 0.0000 0.0000 0.5000  6 S 2.41
Mn15 0.2500 0.3750 0.6250  4 S 2.28
Mn16 0.2500 0.8750 0.1250  4 S 2.28
Mn17 0.0000 0.5000 0.5000  6 S 2.41
Mn18 0.8750 0.2500 0.6250  4 S 2.28
Mn19 0.6250 0.7500 0.8750  4 S 2.28
Mn20 0.8750 0.6250 0.7500  4 S 2.28
S1 0.7059 0.1224 0.0315  2 Mn 2.28-2.41
S2 0.3255 0.5315 0.4091  2 Mn 2.28-2.41
S3 0.9685 0.3776 0.2941  2 Mn 2.28-2.41
S4 0.5315 0.2059 0.1224  2 Mn 2.28-2.41
S5 0.5836 0.7059 0.6745  2 Mn 2.28-2.41
S6 0.9685 0.5909 0.1745  2 Mn 2.28-2.41
S7 0.3255 0.7941 0.4164  2 Mn 2.28-2.41
S8 0.0909 0.9164 0.1224  2 Mn 2.28-2.41
S9 0.5909 0.9685 0.6745  2 Mn 2.28-2.41
S10 0.7059 0.5836 0.1745  2 Mn 2.28-2.41
S11 0.7941 0.4685 0.3776  2 Mn 2.28-2.41
S12 0.8255 0.9091 0.0315  2 Mn 2.28-2.41
S13 0.1224 0.7059 0.5315  2 Mn 2.28-2.41
S14 0.3776 0.4091 0.0836  2 Mn 2.28-2.41
S15 0.0836 0.9091 0.3776  2 Mn 2.28-2.41
S16 0.4164 0.1224 0.5909  2 Mn 2.28-2.41
S17 0.0836 0.1745 0.2059  2 Mn 2.28-2.41
S18 0.4685 0.6745 0.0909  2 Mn 2.28-2.41
S19 0.8255 0.9164 0.2941  2 Mn 2.28-2.41
S20 0.1224 0.4164 0.0909  2 Mn 2.28-2.41
S21 0.3776 0.9685 0.7941  2 Mn 2.28-2.41
S22 0.5909 0.6224 0.4164  2 Mn 2.28-2.41
S23 0.9091 0.8255 0.5315  2 Mn 2.28-2.41
S24 0.7941 0.3255 0.9164  2 Mn 2.28-2.41
S25 0.4091 0.3776 0.5836  2 Mn 2.28-2.41
S26 0.0909 0.1745 0.4685  2 Mn 2.28-2.41
S27 0.2059 0.6745 0.0836  2 Mn 2.28-2.41
S28 0.1745 0.0836 0.7059  2 Mn 2.28-2.41
S29 0.6224 0.0315 0.2059  2 Mn 2.28-2.41
S30 0.8776 0.5836 0.9091  2 Mn 2.28-2.41
S31 0.5315 0.3255 0.9091  2 Mn 2.28-2.41
S32 0.5836 0.8776 0.4091  2 Mn 2.28-2.41
S33 0.9164 0.8255 0.7941  2 Mn 2.28-2.41
S34 0.9164 0.0909 0.6224  2 Mn 2.28-2.41
S35 0.8776 0.2941 0.4685  2 Mn 2.28-2.41
S36 0.1745 0.0909 0.9685  2 Mn 2.28-2.41
S37 0.6224 0.5909 0.9164  2 Mn 2.28-2.41
S38 0.4091 0.0315 0.3255  2 Mn 2.28-2.41
S39 0.2941 0.4164 0.8255  2 Mn 2.28-2.41
S40 0.2059 0.5315 0.6224  2 Mn 2.28-2.41
S41 0.9091 0.0836 0.8776  2 Mn 2.28-2.41
S42 0.6745 0.2059 0.5836  2 Mn 2.28-2.41
S43 0.4685 0.7941 0.8776  2 Mn 2.28-2.41
S44 0.0315 0.4091 0.8255  2 Mn 2.28-2.41
S45 0.4164 0.2941 0.3255  2 Mn 2.28-2.41
S46 0.0315 0.6224 0.7059  2 Mn 2.28-2.41
S47 0.6745 0.4685 0.5909  2 Mn 2.28-2.41
S48 0.2941 0.8776 0.9685  2 Mn 2.28-2.41

Calculated values
* uncorrected formation energy: -1062 meV/atom
* SG: Ia-3d



(2)
This record from Alexandria describes a geometry-optimized PrTmTlPd structure. The functional is PBE.

a b c (Å): 5.2534 5.2534 5.2534
angles (deg): 60.00 60.00 60.00
Last column: nearest neighbours and their distance in Å.
Fractional positions:
Pr1 0.0000 0.0000 0.0000  4 Tl 3.22, 4 Pd 3.22
Tl1 0.7500 0.7500 0.7500  4 Tm 3.22, 4 Pr 3.22
Tm1 0.5000 0.5000 0.5000  4 Tl 3.22, 4 Pd 3.22
Pd1 0.2500 0.2500 0.2500  4 Pr 3.22, 4 Tm 3.22

Calculated values
* final energy: -4.698 eV/atom
* SG: F-43m